Below is a relaxed Hg12Bi3Br5 crystal, with properties calculated at the PBE-GGA level.

Cell lengths 15.6617, 15.6617, 15.6617 Å; angles 109.47, 109.47, 109.47 degrees
Positions (direct):
Hg1 0.0668 0.2405 0.1337
Hg2 0.0668 0.3263 0.9331
Hg3 0.0669 0.6337 0.3932
Hg4 0.0669 0.9332 0.6737
Hg5 0.1068 0.7405 0.6737
Hg6 0.1068 0.8663 0.4331
Hg7 0.1337 0.0668 0.2405
Hg8 0.1337 0.5669 0.8932
Hg9 0.1737 0.2405 0.6068
Hg10 0.1737 0.4332 0.5669
Hg11 0.2405 0.1337 0.0668
Hg12 0.2405 0.6068 0.1737
Hg13 0.2595 0.3263 0.8932
Hg14 0.2595 0.4332 0.3663
Hg15 0.3263 0.8932 0.2595
Hg16 0.3263 0.9331 0.0668
Hg17 0.3663 0.2595 0.4332
Hg18 0.3663 0.6068 0.9331
Hg19 0.3932 0.0669 0.6337
Hg20 0.3932 0.8263 0.7595
Hg21 0.4331 0.1068 0.8663
Hg22 0.4332 0.3663 0.2595
Hg23 0.4332 0.5669 0.1737
Hg24 0.4331 0.8263 0.5668
Hg25 0.5669 0.1737 0.4332
Hg26 0.5668 0.4331 0.8263
Hg27 0.5668 0.6337 0.7405
Hg28 0.5669 0.8932 0.1337
Hg29 0.6068 0.1737 0.2405
Hg30 0.6068 0.9331 0.3663
Hg31 0.6337 0.3932 0.0669
Hg32 0.6337 0.7405 0.5668
Hg33 0.6737 0.0669 0.9332
Hg34 0.6737 0.1068 0.7405
Hg35 0.7405 0.5668 0.6337
Hg36 0.7405 0.6737 0.1068
Hg37 0.7595 0.3932 0.8263
Hg38 0.7595 0.8663 0.9332
Hg39 0.8263 0.5668 0.4331
Hg40 0.8263 0.7595 0.3932
Hg41 0.8663 0.4331 0.1068
Hg42 0.8663 0.9332 0.7595
Hg43 0.8932 0.1337 0.5669
Hg44 0.8932 0.2595 0.3263
Hg45 0.9331 0.0668 0.3263
Hg46 0.9331 0.3663 0.6068
Hg47 0.9332 0.6737 0.0669
Hg48 0.9332 0.7595 0.8663
Bi1 0.1250 0.2500 0.3750
Bi2 0.1250 0.3750 0.7500
Bi3 0.2500 0.3750 0.1250
Bi4 0.2500 0.8750 0.6250
Bi5 0.3750 0.1250 0.2500
Bi6 0.3750 0.7500 0.1250
Bi7 0.6250 0.2500 0.8750
Bi8 0.6250 0.8750 0.7500
Bi9 0.7500 0.1250 0.3750
Bi10 0.7500 0.6250 0.8750
Bi11 0.8750 0.6250 0.2500
Bi12 0.8750 0.7500 0.6250
Br1 0.0000 0.0000 0.0000
Br2 0.0000 0.0000 0.5000
Br3 0.0000 0.5000 0.0000
Br4 0.0000 0.5000 0.5000
Br5 0.1250 0.7500 0.8750
Br6 0.1250 0.8750 0.2500
Br7 0.2500 0.1250 0.8750
Br8 0.2500 0.6250 0.3750
Br9 0.3750 0.2500 0.6250
Br10 0.3750 0.6250 0.7500
Br11 0.5000 0.0000 0.0000
Br12 0.5000 0.0000 0.5000
Br13 0.5000 0.5000 0.0000
Br14 0.5000 0.5000 0.5000
Br15 0.6250 0.3750 0.2500
Br16 0.6250 0.7500 0.3750
Br17 0.7500 0.3750 0.6250
Br18 0.7500 0.8750 0.1250
Br19 0.8750 0.1250 0.7500
Br20 0.8750 0.2500 0.1250

For the total DFT energy (no corrections), the calculation gives -1.22 eV per atom. Its density of states at the Fermi level is 39.28 states/eV per cell. The formation energy from raw total energies comes out at -42.5 meV/atom. As for the volume: 2957.3 Å³ per cell.